First-principles (PBE-GGA) data for a geometry-optimized LiTbBiAu structure, as listed in the Alexandria database.

Properties
Total energy (eV per cell): -16.30
Spin magnetization (μB/atom): 0.00

Lattice parameters (Å, degrees): 5.1272 5.1272 5.1272 60.00 60.00 60.00
Positions (direct):
1 Li 0.0000 0.0000 0.0000
2 Tb 0.5000 0.5000 0.5000
3 Bi 0.7500 0.7500 0.7500
4 Au 0.2500 0.2500 0.2500